No. 1
This record from the Alexandria database describes Sc4SnHgC after structural relaxation. The functional is PBE.

Calculated formation energy, eV/atom: -0.550
Crystal system: orthorhombic
Volume, Å³/cell: 592.0

Cell lengths 6.3959, 14.5307, 6.3697 Å; angles 90.00, 90.00, 90.00 degrees
Closest atoms and distances in Å follow each position.
Space group Cmcm (No. 63)
Unique sites:
1 Sc 0.0000 0.0887 0.2500 [4 per cell]  1 C 2.33
2 Sc 0.0000 0.4066 0.2500 [4 per cell]  1 C 2.29
3 Sc 0.2500 0.2500 0.0000 [8 per cell]  2 C 2.26
4 Sn 0.0000 0.3889 0.7500 [4 per cell]  9 Sc 2.97-3.21
5 Hg 0.0000 0.1121 0.7500 [4 per cell]  9 Sc 2.92-3.21
6 C 0.0000 0.2488 0.2500 [4 per cell]  6 Sc 2.26-2.33

=====

No. 2
This record from the Alexandria database describes SrSc2HgC after structural relaxation. The functional is PBE.

Calculated formation energy, eV/atom: -0.224
Crystal system: tetragonal
Volume, Å³/cell: 113.5

Cell lengths 4.5594, 4.5594, 5.4620 Å; angles 90.00, 90.00, 90.00 degrees
Closest atoms and distances in Å follow each position.
Space group P4/mmm (No. 123)
Unique sites:
1 Sr 0.0000 0.0000 0.0000 [1 per cell]  2 C 2.73
2 Sc 0.0000 0.5000 0.5000 [2 per cell]  2 C 2.28
3 Hg 0.5000 0.5000 0.0000 [1 per cell]  4 Sr 3.22, 8 Sc 3.56
4 C 0.0000 0.0000 0.5000 [1 per cell]  4 Sc 2.28

=====

No. 3
This record from the Alexandria database describes TbSc2HgC after structural relaxation. The functional is PBE.

Calculated formation energy, eV/atom: -0.475
Crystal system: tetragonal
Volume, Å³/cell: 102.5

Cell lengths 4.5480, 4.5480, 4.9566 Å; angles 90.00, 90.00, 90.00 degrees
Closest atoms and distances in Å follow each position.
Space group P4/mmm (No. 123)
Unique sites:
1 Tb 0.0000 0.0000 0.0000 [1 per cell]  2 C 2.48
2 Sc 0.0000 0.5000 0.5000 [2 per cell]  2 C 2.27
3 Hg 0.5000 0.5000 0.0000 [1 per cell]  4 Tb 3.22, 8 Sc 3.36
4 C 0.0000 0.0000 0.5000 [1 per cell]  4 Sc 2.27, 2 Tb 2.48

=====

No. 4
This record from the Alexandria database describes Tb2ScHgC after structural relaxation. The functional is PBE.

Calculated formation energy, eV/atom: -0.432
Crystal system: tetragonal
Volume, Å³/cell: 111.3

Cell lengths 5.0066, 5.0066, 4.4410 Å; angles 90.00, 90.00, 90.00 degrees
Closest atoms and distances in Å follow each position.
Space group P4/mmm (No. 123)
Unique sites:
1 Tb 0.0000 0.5000 0.0000 [2 per cell]  2 C 2.50
2 Sc 0.0000 0.0000 0.5000 [1 per cell]  2 C 2.22
3 Hg 0.5000 0.5000 0.5000 [1 per cell]  8 Tb 3.35, 4 Sc 3.54
4 C 0.0000 0.0000 0.0000 [1 per cell]  2 Sc 2.22

=====

No. 5
This record from the Alexandria database describes ScHgTe2C after structural relaxation. The functional is PBE.

Formation energy from raw total energies, eV per atom: 1.046
Crystal system: tetragonal
Volume, Å³/cell: 134.4

Cell lengths 5.7424, 5.7424, 4.0746 Å; angles 90.00, 90.00, 90.00 degrees
Closest atoms and distances in Å follow each position.
Space group P4/mmm (No. 123)
Unique sites:
1 Sc 0.0000 0.0000 0.0000 [1 per cell]  8 Te 3.52
2 Hg 0.5000 0.5000 0.5000 [1 per cell]  2 C 2.04
3 Te 0.0000 0.5000 0.5000 [2 per cell]  2 Hg 2.87
4 C 0.5000 0.5000 0.0000 [1 per cell]  2 Hg 2.04

=====

No. 6
This record from the Alexandria database describes ThScHgC after structural relaxation. The functional is PBE.

Calculated formation energy, eV/atom: -0.395
Crystal system: monoclinic
Volume, Å³/cell: 168.0

Cell lengths 6.0779, 3.5106, 8.1287 Å; angles 90.00, 104.36, 90.00 degrees
Closest atoms and distances in Å follow each position.
Space group Cm (No. 8)
Unique sites:
1 Th 0.0000 0.0000 0.0000 [2 per cell]  3 C 2.53
2 Sc 0.2800 0.5000 0.3403 [2 per cell]  3 C 2.34
3 Hg 0.2153 0.0000 0.6460 [2 per cell]  3 Sc 3.15, 3 Th 3.44-3.45, 6 Hg 3.51
4 C 0.3973 0.0000 0.1923 [2 per cell]  3 Sc 2.34, 3 Th 2.53

=====

Number 1: total moment 0.000 μB per formula unit. Number 2: total moment 0.000 μB per formula unit. Number 3: total moment 0.007 μB per formula unit. Number 4: total moment 0.000 μB per formula unit. Number 5: total moment 0.942 μB per formula unit. Number 6: total moment 0.001 μB per formula unit.